The following is a GGA+U calculation of a relaxed structure of TlMoIO2, from Alexandria via LeMat-Bulk.

Output
Calculated total energy: -4.756 eV/atom
Volume: 20.75 Å³/atom
Excess energy over the best structure of this formula in the dataset: 0 meV/atom
Fermi-level density of states: 1.105 states/eV/cell

Unit cell a=4.2332 b=4.2332 c=5.7899 alpha=90.00 beta=90.00 gamma=90.00
Last column: nearest neighbours and their distance in Å.
Fractional coordinates of all 5 atoms:
Tl 0.0000 0.0000 0.0000  4 I 2.99
Mo 0.5000 0.5000 0.5000  4 O 2.12
I 0.5000 0.5000 0.0000  2 Mo 2.89, 4 Tl 2.99
O 0.0000 0.5000 0.5000  2 Mo 2.12
O 0.5000 0.0000 0.5000  2 Mo 2.12